No. 1
Computed, not measured: an optimized crystal structure of BeSi8 at the PBE level of DFT.

```
BeSi8
1.0
-4.0113 4.0113 1.9148
4.0113 -4.0113 1.9148
4.0113 4.0113 -1.9148
Be Si
1 8
Direct
0.0000 0.0000 0.0000
0.0000 0.3287 0.3287
0.0000 0.6713 0.6713
0.3287 0.0000 0.3287
0.3402 0.3402 0.6805
0.3402 0.6598 0.0000
0.6598 0.3402 0.0000
0.6598 0.6598 0.3195
0.6713 0.0000 0.6713
```

Values from the calculation:
energy relative to the elements, uncorrected = 502 meV per atom
space-group type = I4/mmm, No. 139
density of states at the Fermi level = 3.225 states/eV per cell
spin magnetization = 0.00 μB/atom
V = 13.69 Å³ per atom

---

No. 2
Computed, not measured: an optimized crystal structure of BeSi at the PBE level of DFT.

```
BeSi
1.0
-1.1997 2.1175 4.6621
1.1997 -2.1175 4.6621
1.1997 2.1175 -4.6621
Be Si
2 2
Direct
0.3982 0.1482 0.2500
0.6018 0.8518 0.7500
0.1597 0.4097 0.7500
0.8403 0.5903 0.2500
```

Values from the calculation:
energy relative to the elements, uncorrected = 417 meV per atom
space-group type = Imma, No. 74
density of states at the Fermi level = 0.898 states/eV per cell
spin magnetization = 0.00 μB/atom
V = 11.84 Å³ per atom
offset from the most stable computed form = 0.187 eV/atom

---

No. 3
Computed, not measured: an optimized crystal structure of Be4Si5 at the PBE level of DFT.

```
Be4Si5
1.0
-3.8373 3.8373 1.7782
3.8373 -3.8373 1.7782
3.8373 3.8373 -1.7782
Be Si
4 5
Direct
0.0000 0.3552 0.3552
0.0000 0.6448 0.6448
0.3552 0.0000 0.3552
0.6448 0.0000 0.6448
0.0000 0.0000 0.0000
0.3275 0.3275 0.6549
0.3275 0.6725 0.0000
0.6725 0.3275 0.0000
0.6725 0.6725 0.3451
```

Values from the calculation:
energy relative to the elements, uncorrected = 401 meV per atom
space-group type = I4/mmm, No. 139
density of states at the Fermi level = 3.338 states/eV per cell
spin magnetization = 0.00 μB/atom
V = 11.64 Å³ per atom
offset from the most stable computed form = 0.000 eV/atom

---

No. 4
Computed, not measured: an optimized crystal structure of BeSi at the PBE level of DFT.

```
BeSi
1.0
0.0000 3.3624 4.6147
3.1240 0.0000 4.6147
3.1240 3.3624 0.0000
Be Si
4 4
Direct
0.0549 0.6951 0.6951
0.3049 0.9451 0.9451
0.6951 0.0549 0.0549
0.9451 0.3049 0.3049
0.1857 0.5643 0.1857
0.4357 0.8143 0.4357
0.5643 0.1857 0.5643
0.8143 0.4357 0.8143
```

Values from the calculation:
energy relative to the elements, uncorrected = 440 meV per atom
space-group type = Fddd, No. 70
density of states at the Fermi level = 2.226 states/eV per cell
spin magnetization = 0.00 μB/atom
V = 12.12 Å³ per atom
offset from the most stable computed form = 0.211 eV/atom

---

No. 5
Computed, not measured: an optimized crystal structure of BeSi at the PBE level of DFT.

```
BeSi
1.0
2.1818 -1.2586 0.0000
2.1818 1.2586 0.0000
-1.4739 0.0000 8.5737
Be Si
2 2
Direct
0.2016 0.2016 0.1023
0.7984 0.7984 0.8977
0.3773 0.3773 0.6596
0.6227 0.6227 0.3404
```

Values from the calculation:
energy relative to the elements, uncorrected = 382 meV per atom
space-group type = C2/m, No. 12
density of states at the Fermi level = 1.088 states/eV per cell
spin magnetization = 0.00 μB/atom
V = 11.77 Å³ per atom
offset from the most stable computed form = 0.152 eV/atom

---

No. 6
Computed, not measured: an optimized crystal structure of Be4Si at the PBE level of DFT.

```
Be4Si
1.0
4.1533 0.0000 0.0000
0.0000 4.1533 0.0000
0.0000 0.0000 4.1533
Be Si
4 1
Direct
0.0000 0.0000 0.0000
0.0000 0.5000 0.5000
0.5000 0.0000 0.5000
0.5000 0.5000 0.0000
0.5000 0.5000 0.5000
```

Values from the calculation:
energy relative to the elements, uncorrected = 1182 meV per atom
space-group type = Pm-3m, No. 221
density of states at the Fermi level = 1.934 states/eV per cell
spin magnetization = 0.00 μB/atom
V = 14.33 Å³ per atom
offset from the most stable computed form = 0.919 eV/atom

---

No. 7
Computed, not measured: an optimized crystal structure of BeSi at the PBE level of DFT.

```
BeSi
1.0
4.1392 0.0000 0.0000
0.0000 9.7236 0.0000
0.0000 0.0000 3.8512
Be Si
6 6
Direct
0.2500 0.1326 0.2040
0.2500 0.3674 0.2040
0.2500 0.7500 0.6064
0.7500 0.2500 0.3936
0.7500 0.6326 0.7960
0.7500 0.8674 0.7960
0.2500 0.2500 0.7101
0.2500 0.5946 0.0999
0.2500 0.9054 0.0999
0.7500 0.0946 0.9001
0.7500 0.4054 0.9001
0.7500 0.7500 0.2899
```

Values from the calculation:
energy relative to the elements, uncorrected = 340 meV per atom
space-group type = Pmmn, No. 59
density of states at the Fermi level = 2.404 states/eV per cell
spin magnetization = 0.00 μB/atom
V = 12.92 Å³ per atom
offset from the most stable computed form = 0.110 eV/atom

---

No. 8
Computed, not measured: an optimized crystal structure of Be3Si at the PBE level of DFT.

```
Be3Si
1.0
5.5134 0.0000 0.0000
0.0000 6.8718 0.0000
0.0000 0.0000 4.3315
Be Si
12 4
Direct
0.1498 0.2500 0.0530
0.1706 0.5308 0.8324
0.1706 0.9692 0.8324
0.3294 0.0308 0.3324
0.3294 0.4692 0.3324
0.3502 0.7500 0.5530
0.6498 0.2500 0.4470
0.6706 0.5308 0.6676
0.6706 0.9692 0.6676
0.8294 0.0308 0.1676
0.8294 0.4692 0.1676
0.8502 0.7500 0.9470
0.0444 0.2500 0.5512
0.4556 0.7500 0.0512
0.5444 0.2500 0.9488
0.9556 0.7500 0.4488
```

Values from the calculation:
energy relative to the elements, uncorrected = 211 meV per atom
space-group type = Pnma, No. 62
density of states at the Fermi level = 1.151 states/eV per cell
spin magnetization = 0.00 μB/atom
V = 10.26 Å³ per atom
offset from the most stable computed form = 0.061 eV/atom

---

No. 9
Computed, not measured: an optimized crystal structure of BeSi at the PBE level of DFT.

```
BeSi
1.0
9.1929 0.0000 0.0000
0.0000 3.7389 0.0000
0.0000 0.0000 6.0772
Be Si
8 8
Direct
0.1402 0.2500 0.0949
0.2486 0.2500 0.7490
0.2514 0.7500 0.2490
0.3598 0.7500 0.5949
0.6402 0.2500 0.4051
0.7486 0.2500 0.7510
0.7514 0.7500 0.2510
0.8598 0.7500 0.9051
0.0048 0.7500 0.2188
0.1258 0.7500 0.5895
0.3742 0.2500 0.0895
0.4952 0.2500 0.7188
0.5048 0.7500 0.2812
0.6258 0.7500 0.9105
0.8742 0.2500 0.4105
0.9952 0.2500 0.7812
```

Values from the calculation:
energy relative to the elements, uncorrected = 340 meV per atom
space-group type = Pnma, No. 62
density of states at the Fermi level = 4.022 states/eV per cell
spin magnetization = 0.00 μB/atom
V = 13.06 Å³ per atom
offset from the most stable computed form = 0.110 eV/atom

---

No. 10
Computed, not measured: an optimized crystal structure of BeSi at the PBE level of DFT.

```
BeSi
1.0
-1.7508 1.7508 3.6320
1.7508 -1.7508 3.6320
1.7508 1.7508 -3.6320
Be Si
2 2
Direct
0.3750 0.6250 0.7500
0.6250 0.3750 0.2500
0.1250 0.8750 0.2500
0.8750 0.1250 0.7500
```

Values from the calculation:
energy relative to the elements, uncorrected = 371 meV per atom
space-group type = I4_1/amd, No. 141
density of states at the Fermi level = 1.172 states/eV per cell
spin magnetization = 0.00 μB/atom
V = 11.13 Å³ per atom
offset from the most stable computed form = 0.142 eV/atom

---

No. 11
Computed, not measured: an optimized crystal structure of Be3Si at the PBE level of DFT.

```
Be3Si
1.0
3.3518 -1.8129 0.0000
3.3518 1.8129 0.0000
-2.5627 0.0000 7.1431
Be Si
6 2
Direct
0.0000 0.0000 0.0000
0.0281 0.0281 0.7150
0.1215 0.1215 0.2800
0.4129 0.4129 0.8263
0.7248 0.7248 0.7783
0.7551 0.7551 0.4385
0.4604 0.4604 0.5094
0.7178 0.7178 0.1152
```

Values from the calculation:
energy relative to the elements, uncorrected = 187 meV per atom
space-group type = Cm, No. 8
density of states at the Fermi level = 0.494 states/eV per cell
spin magnetization = 0.00 μB/atom
V = 10.85 Å³ per atom
offset from the most stable computed form = 0.037 eV/atom

---

No. 12
Computed, not measured: an optimized crystal structure of BeSi at the PBE level of DFT.

```
BeSi
1.0
1.8430 -3.5916 0.0000
1.8430 3.5916 0.0000
0.0000 0.0000 3.8482
Be Si
2 2
Direct
0.0810 0.9190 0.7500
0.9190 0.0810 0.2500
0.3904 0.6096 0.7500
0.6096 0.3904 0.2500
```

Values from the calculation:
energy relative to the elements, uncorrected = 332 meV per atom
space-group type = Cmcm, No. 63
density of states at the Fermi level = 0.731 states/eV per cell
spin magnetization = 0.00 μB/atom
V = 12.74 Å³ per atom
offset from the most stable computed form = 0.102 eV/atom

---

Question: What is the V in the eleventh record?
Answer: 10.85 Å³ per atom

---

Please write out number 5 again, unchanged.
Computed, not measured: an optimized crystal structure of BeSi at the PBE level of DFT.

```
BeSi
1.0
2.1818 -1.2586 0.0000
2.1818 1.2586 0.0000
-1.4739 0.0000 8.5737
Be Si
2 2
Direct
0.2016 0.2016 0.1023
0.7984 0.7984 0.8977
0.3773 0.3773 0.6596
0.6227 0.6227 0.3404
```

Values from the calculation:
energy relative to the elements, uncorrected = 382 meV per atom
space-group type = C2/m, No. 12
density of states at the Fermi level = 1.088 states/eV per cell
spin magnetization = 0.00 μB/atom
V = 11.77 Å³ per atom
offset from the most stable computed form = 0.152 eV/atom